# 1
Material: Cs3Ce2DyTe6
Method: DFT, GGA-PBE
State: optimized geometry

Calculated values
D(E_F) = 1.368 states/eV/atom
uncorrected formation energy = -1351.4 meV per atom
size of the total moment = 4.010 μB per cell

a b c (Å): 8.0784 13.9917 9.3205
angles (deg): 90.00 106.80 90.00
Space group C2/m (No. 12)
Asymmetric unit:
Cs1 0.0000 0.0000 0.0000 (multiplicity 2)
Cs2 0.0000 0.3317 0.0000 (multiplicity 4)
Ce1 0.0000 0.1665 0.5000 (multiplicity 4)
Dy1 0.0000 0.5000 0.5000 (multiplicity 2)
Te1 0.2265 0.3375 0.6921 (multiplicity 8)
Te2 0.2394 0.0000 0.6928 (multiplicity 4)

---

# 2
Material: Cs2CeErO4
Method: DFT, GGA-PBE
State: optimized geometry

Calculated values
D(E_F) = 0.471 states/eV/atom
uncorrected formation energy = -2575.7 meV per atom
size of the total moment = 0.767 μB per cell

a b c (Å): 6.2406 3.6112 7.2433
angles (deg): 90.00 106.55 90.00
Space group P2/m (No. 10)
Asymmetric unit:
Cs1 0.0000 0.0000 0.0000 (multiplicity 1)
Cs2 0.5000 0.5000 0.0000 (multiplicity 1)
Ce1 0.0000 0.5000 0.5000 (multiplicity 1)
Er1 0.5000 0.0000 0.5000 (multiplicity 1)
O1 0.2281 0.0000 0.6602 (multiplicity 2)
O2 0.2872 0.5000 0.3406 (multiplicity 2)

---

# 3
Material: Cs4CeEr3S8
Method: DFT, GGA-PBE
State: optimized geometry

Calculated values
D(E_F) = 0.244 states/eV/atom
uncorrected formation energy = -1804.2 meV per atom
size of the total moment = 2.878 μB per cell

a b c (Å): 8.2475 8.2475 24.1631
angles (deg): 90.00 90.00 120.00
Space group R-3m (No. 166, hexagonal axes)
Asymmetric unit:
Cs1 0.0000 0.0000 0.0000 (multiplicity 3)
Cs2 0.0000 0.5000 0.0000 (multiplicity 9)
Ce1 0.0000 0.0000 0.5000 (multiplicity 3)
Er1 0.0000 0.5000 0.5000 (multiplicity 9)
S1 0.0000 0.0000 0.2265 (multiplicity 6)
S2 0.0092 0.5046 0.7728 (multiplicity 18)

---

# 4
Material: Cs3Ce2ErS6
Method: DFT, GGA-PBE
State: optimized geometry

Calculated values
D(E_F) = 0.986 states/eV/atom
uncorrected formation energy = -1771.1 meV per atom
size of the total moment = 4.025 μB per cell

a b c (Å): 7.2909 12.6275 8.4129
angles (deg): 90.00 106.79 90.00
Space group C2/m (No. 12)
Asymmetric unit:
Cs1 0.0000 0.0000 0.0000 (multiplicity 2)
Cs2 0.0000 0.3325 0.0000 (multiplicity 4)
Ce1 0.0000 0.1666 0.5000 (multiplicity 4)
Er1 0.0000 0.5000 0.5000 (multiplicity 2)
S1 0.2226 0.3384 0.6829 (multiplicity 8)
S2 0.2380 0.0000 0.6835 (multiplicity 4)

---

# 5
Material: CsCeEr4S8
Method: DFT, GGA-PBE
State: optimized geometry

Calculated values
D(E_F) = 0.588 states/eV/atom
uncorrected formation energy = -1830.2 meV per atom
size of the total moment = 3.019 μB per cell

a b c (Å): 8.2350 8.2350 20.9656
angles (deg): 90.00 90.00 120.00
Space group R3m (No. 160, hexagonal axes)
Asymmetric unit:
Cs1 0.0000 0.0000 0.0000 (multiplicity 3)
Ce1 0.0000 0.0000 0.3638 (multiplicity 3)
Er1 0.0000 0.0000 0.7433 (multiplicity 3)
Er2 0.0110 0.5055 0.8701 (multiplicity 9)
S1 0.0000 0.0000 0.1425 (multiplicity 3)
S2 0.0000 0.0000 0.6124 (multiplicity 3)
S3 0.0126 0.5063 0.1233 (multiplicity 9)
S4 0.1927 0.3853 0.9407 (multiplicity 9)

---

# 6
Material: Cs2CeEr2Se6
Method: DFT, GGA-PBE
State: optimized geometry

Calculated values
uncorrected formation energy = -1725.4 meV per atom
size of the total moment = 0.000 μB per cell

a b c (Å): 7.2388 12.5611 8.9210
angles (deg): 90.00 105.86 90.00
Space group C2/m (No. 12)
Asymmetric unit:
Cs1 0.0000 0.1672 0.0000 (multiplicity 4)
Ce1 0.0000 0.0000 0.5000 (multiplicity 2)
Er1 0.0000 0.3332 0.5000 (multiplicity 4)
Se1 0.2264 0.5000 0.6811 (multiplicity 4)
Se2 0.2281 0.1672 0.6814 (multiplicity 8)

---

# 7
Material: Cs3CeEr2Se6
Method: DFT, GGA-PBE
State: optimized geometry

Calculated values
D(E_F) = 0.682 states/eV/atom
uncorrected formation energy = -1691.7 meV per atom
size of the total moment = 2.026 μB per cell

a b c (Å): 7.4641 12.9288 8.7313
angles (deg): 90.00 106.56 90.00
Space group C2/m (No. 12)
Asymmetric unit:
Cs1 0.0000 0.0000 0.0000 (multiplicity 2)
Cs2 0.0000 0.3349 0.0000 (multiplicity 4)
Ce1 0.0000 0.5000 0.5000 (multiplicity 2)
Er1 0.0000 0.1668 0.5000 (multiplicity 4)
Se1 0.2176 0.0000 0.6849 (multiplicity 4)
Se2 0.2340 0.3279 0.6856 (multiplicity 8)

---

# 8
Material: Cs2Ce2ErSe6
Method: DFT, GGA-PBE
State: optimized geometry

Calculated values
D(E_F) = 0.556 states/eV/atom
uncorrected formation energy = -1721.4 meV per atom
size of the total moment = 2.041 μB per cell

a b c (Å): 7.4020 12.7819 8.8911
angles (deg): 90.00 106.06 90.00
Space group C2/m (No. 12)
Asymmetric unit:
Cs1 0.0000 0.1671 0.0000 (multiplicity 4)
Ce1 0.0000 0.3337 0.5000 (multiplicity 4)
Er1 0.0000 0.0000 0.5000 (multiplicity 2)
Se1 0.2244 0.1644 0.6815 (multiplicity 8)
Se2 0.2339 0.5000 0.6813 (multiplicity 4)